# 1
K2MgCdS, relaxed, DFT PBEsol; total magnetization = 0.002 μB per formula unit; E_tot = -2.086 eV per atom; density of states at the Fermi level = 3.44 states/eV per cell
1.0
5.199 0.000 0.000
0.000 6.003 0.000
0.000 0.000 6.003
Mg K S Cd
1 2 1 1
Cartesian
2.600 3.002 3.002
0.000 0.000 3.002
0.000 3.002 0.000
0.000 0.000 0.000
2.600 0.000 0.000

# 2
MgICl2, relaxed, DFT PBEsol; total magnetization = 0.000 μB per formula unit; E_tot = -3.172 eV per atom; density of states at the Fermi level = 1.17 states/eV per cell
1.0
3.497 0.000 0.000
1.748 3.028 0.000
1.748 1.009 11.441
Cl Mg I
2 1 1
Cartesian
1.748 1.009 7.140
5.245 3.028 4.302
3.497 2.019 5.721
0.000 0.000 0.000

# 3
SnGeC2, relaxed, DFT PBEsol; total magnetization = 0.001 μB per formula unit; E_tot = -5.077 eV per atom; density of states at the Fermi level = 2.06 states/eV per cell; energy of formation = 2.0440 eV/atom
1.0
4.153 0.000 0.000
2.077 3.597 0.000
2.077 1.199 3.391
C Sn Ge
2 1 1
Cartesian
6.230 3.597 2.543
2.077 1.199 0.848
4.153 2.398 1.696
0.000 0.000 0.000

# 4
GaP2RhO, relaxed, DFT PBEsol; total magnetization = 0.002 μB per formula unit; E_tot = -5.469 eV per atom; density of states at the Fermi level = 4.25 states/eV per cell
1.0
-0.350 3.245 -1.571
-4.361 -1.184 -1.474
-1.834 1.748 4.021
Ga P O Rh
1 2 1 1
Cartesian
-3.272 1.904 0.488
-0.917 0.874 2.011
-2.180 -0.592 -0.737
-0.175 1.622 -0.785
0.000 0.000 0.000

# 5
Cd2NiCl, relaxed, DFT PBEsol; total magnetization = 0.000 μB per formula unit; energy above the lowest structure with this stoichiometry = 106 meV/atom; E_tot = -2.709 eV per atom; density of states at the Fermi level = 1.61 states/eV per cell
1.0
3.007 0.000 0.000
0.000 4.417 0.000
-1.504 -2.208 5.749
Cd Cl Ni
2 1 1
Cartesian
1.504 2.208 4.915
1.504 0.000 2.970
1.504 2.208 0.857
0.000 2.208 2.756

# 6
Li2RhBr, relaxed, DFT PBEsol; total magnetization = 0.000 μB per formula unit; E_tot = -3.597 eV per atom; density of states at the Fermi level = 1.61 states/eV per cell
1.0
4.337 0.000 0.000
2.169 3.756 0.000
2.169 1.252 3.541
Li Rh Br
2 1 1
Cartesian
0.000 0.000 0.000
6.506 3.756 2.656
2.169 1.252 0.885
4.337 2.504 1.771

# 7
LaAg2Ir2, relaxed, DFT PBEsol; total magnetization = 0.000 μB per formula unit; E_tot = -6.093 eV per atom; density of states at the Fermi level = 5.02 states/eV per cell; energy of formation = 0.2299 eV/atom
1.0
3.920 0.000 0.000
0.000 3.920 0.000
-1.960 -1.960 6.278
Ir Ag La
2 2 1
Cartesian
0.000 1.960 3.139
1.960 0.000 3.139
1.960 1.960 1.308
0.000 0.000 4.970
0.000 0.000 0.000

# 8
RbLa2HgTe, relaxed, DFT PBEsol; total magnetization = 0.003 μB per formula unit; E_tot = -3.189 eV per atom; density of states at the Fermi level = 5.33 states/eV per cell
1.0
-2.273 -5.207 1.266
4.885 -1.448 2.814
-2.364 2.319 5.296
La Rb Hg Te
2 1 1 1
Cartesian
-1.136 -2.603 0.633
2.442 -0.724 1.407
-1.182 1.160 2.648
0.000 0.000 0.000
0.124 -2.168 4.688

# 9
AsRhPb2, relaxed, DFT PBEsol; total magnetization = 0.000 μB per formula unit; E_tot = -5.026 eV per atom; density of states at the Fermi level = 2.20 states/eV per cell; energy of formation = 0.2844 eV/atom
1.0
4.609 0.000 0.000
0.000 4.609 0.000
-2.305 -2.305 3.996
Pb Rh As
2 1 1
Cartesian
2.305 0.000 1.998
0.000 0.000 0.000
2.305 2.305 0.000
0.000 2.305 1.998

# 10
Ba2NdInSe5, relaxed, DFT PBEsol; total magnetization = 0.000 μB per formula unit; E_tot = -5.140 eV per atom
1.0
4.308 0.000 0.000
-2.154 9.416 0.000
0.000 0.000 13.210
Ba Se In Nd
4 10 2 2
Cartesian
2.154 6.963 10.752
0.000 2.189 9.013
2.154 7.228 2.408
0.000 2.453 4.147
2.154 3.481 11.396
0.000 5.483 8.745
2.154 2.614 6.609
2.154 3.933 2.140
0.000 5.935 4.791
0.000 6.802 0.004
2.154 0.099 3.485
0.000 9.318 10.090
2.154 8.520 7.310
0.000 0.896 0.705
2.154 0.948 12.401
0.000 8.468 5.796
0.000 3.982 0.205
2.154 5.435 6.810

# 11
AgBi3Cl, relaxed, DFT PBEsol; total magnetization = 0.001 μB per formula unit; E_tot = -2.868 eV per atom; density of states at the Fermi level = 5.97 states/eV per cell
1.0
-3.010 2.869 3.465
-4.410 -2.704 -1.592
0.887 -3.709 3.841
Cl Bi Ag
1 3 1
Cartesian
0.000 0.000 0.000
0.444 -1.854 1.921
-2.205 -1.352 -0.796
-1.505 1.434 1.732
-3.267 -1.772 2.857

# 12
ZrCr2Br, relaxed, DFT PBEsol; total magnetization = 0.382 μB per formula unit; E_tot = -7.370 eV per atom; density of states at the Fermi level = 3.85 states/eV per cell
1.0
3.098 0.000 0.000
0.000 4.375 0.000
0.000 0.000 4.938
Cr Br Zr
2 1 1
Cartesian
1.549 2.187 0.000
0.000 0.000 0.000
0.000 2.187 2.469
1.549 0.000 2.469